# Ce6ThGa2 PBE optimized geometry
# D(E_F): 19.92 states/eV/f.u.
# V: 24.914 A^3/atom
# SG: Immm, No. 71
# ΔH_f (0 K): -0.142 eV/atom
data_Ce6ThGa2
_cell_length_a 3.228
_cell_length_b 9.138
_cell_length_c 9.138
_cell_angle_alpha 58.16
_cell_angle_beta 79.83
_cell_angle_gamma 79.83
_space_group_name_H-M_alt 'P 1'
_space_group_IT_number 1
_space_group_name_Hall 'P 1'
loop_
_atom_site_label
_atom_site_type_symbol
_atom_site_fract_x
_atom_site_fract_y
_atom_site_fract_z
_atom_site_occupancy
Th1 Th 0.000 0.000 0.000 1
Ce1 Ce 0.500 0.667 0.333 1
Ga1 Ga 0.154 0.346 0.346 1
Ce2 Ce 0.669 0.020 0.642 1
Ce3 Ce 0.331 0.358 0.980 1
Ce4 Ce 0.331 0.980 0.358 1
Ce5 Ce 0.669 0.642 0.020 1
Ga2 Ga 0.846 0.654 0.654 1
Ce6 Ce 0.500 0.333 0.667 1

***

# Pa2CdW PBE optimized geometry
# D(E_F): 5.92 states/eV/f.u.
# V: 23.482 A^3/atom
# SG: R-3m, No. 166
# ΔH_f (0 K): 0.460 eV/atom
data_Pa2CdW
_cell_length_a 3.037
_cell_length_b 3.037
_cell_length_c 11.891
_cell_angle_alpha 82.66
_cell_angle_beta 82.66
_cell_angle_gamma 60.00
_space_group_name_H-M_alt 'P 1'
_space_group_IT_number 1
_space_group_name_Hall 'P 1'
loop_
_atom_site_label
_atom_site_type_symbol
_atom_site_fract_x
_atom_site_fract_y
_atom_site_fract_z
_atom_site_occupancy
Pa1 Pa 0.905 0.905 0.284 1
Pa2 Pa 0.095 0.095 0.716 1
Cd1 Cd 0.000 0.000 0.000 1
W1 W 0.500 0.500 0.500 1

***

# NaMgTlAu PBE optimized geometry
# D(E_F): 1.68 states/eV/f.u.
# Energy above the lowest structure with this stoichiometry: 0 meV/atom
# V: 23.191 A^3/atom
# SG: P4mm, No. 99
# ΔH_f (0 K): -0.277 eV/atom
data_NaMgTlAu
_cell_length_a 3.375
_cell_length_b 3.375
_cell_length_c 8.145
_cell_angle_alpha 90.00
_cell_angle_beta 90.00
_cell_angle_gamma 90.00
_space_group_name_H-M_alt 'P 1'
_space_group_IT_number 1
_space_group_name_Hall 'P 1'
loop_
_atom_site_label
_atom_site_type_symbol
_atom_site_fract_x
_atom_site_fract_y
_atom_site_fract_z
_atom_site_occupancy
Au1 Au 0.500 0.500 0.354 1
Na1 Na 0.000 0.000 0.103 1
Tl1 Tl 0.500 0.500 0.800 1
Mg1 Mg 0.000 0.000 0.528 1

***

# InMo2Br2 PBE optimized geometry
# E_form (uncorrected): 793 meV per atom
# D(E_F): 4.17 states/eV/f.u.
# Energy above the lowest structure with this stoichiometry: 219 meV/atom
# V: 21.910 A^3/atom
# SG: P4/mbm, No. 127
data_InMo2Br2
_cell_length_a 8.132
_cell_length_b 8.132
_cell_length_c 3.313
_cell_angle_alpha 90.00
_cell_angle_beta 90.00
_cell_angle_gamma 90.00
_space_group_name_H-M_alt 'P 1'
_space_group_IT_number 1
_space_group_name_Hall 'P 1'
loop_
_atom_site_label
_atom_site_type_symbol
_atom_site_fract_x
_atom_site_fract_y
_atom_site_fract_z
_atom_site_occupancy
Mo1 Mo 0.902 0.598 0.000 1
In1 In 0.000 0.000 0.000 1
Br1 Br 0.674 0.826 0.500 1
Br2 Br 0.174 0.674 0.500 1
Br3 Br 0.826 0.326 0.500 1
Mo2 Mo 0.598 0.098 0.000 1
In2 In 0.500 0.500 0.000 1
Mo3 Mo 0.098 0.402 0.000 1
Br4 Br 0.326 0.174 0.500 1
Mo4 Mo 0.402 0.902 0.000 1

***

# K2ErSeO6 PBE optimized geometry
# E_form (uncorrected): -1552 meV per atom
# D(E_F): 1.67 states/eV/f.u.
# V: 19.251 A^3/atom
# SG: P-3m1, No. 164
data_K2ErSeO6
_cell_length_a 5.669
_cell_length_b 6.262
_cell_length_c 6.262
_cell_angle_alpha 120.00
_cell_angle_beta 90.00
_cell_angle_gamma 90.00
_space_group_name_H-M_alt 'P 1'
_space_group_IT_number 1
_space_group_name_Hall 'P 1'
loop_
_atom_site_label
_atom_site_type_symbol
_atom_site_fract_x
_atom_site_fract_y
_atom_site_fract_z
_atom_site_occupancy
Se1 Se 0.000 0.000 0.000 1
Er1 Er 0.500 0.000 0.000 1
O1 O 0.194 0.865 0.135 1
O2 O 0.194 0.271 0.135 1
K1 K 0.100 0.333 0.667 1
O3 O 0.806 0.729 0.865 1
O4 O 0.194 0.865 0.729 1
O5 O 0.806 0.135 0.865 1
K2 K 0.900 0.667 0.333 1
O6 O 0.806 0.135 0.271 1

***

# CeAlZn8Au2 PBE optimized geometry
# D(E_F): 5.92 states/eV/f.u.
# V: 17.826 A^3/atom
# SG: C2/m, No. 12
# ΔH_f (0 K): -0.142 eV/atom
data_CeAlZn8Au2
_cell_length_a 4.787
_cell_length_b 4.787
_cell_length_c 10.376
_cell_angle_alpha 95.45
_cell_angle_beta 95.45
_cell_angle_gamma 64.90
_space_group_name_H-M_alt 'P 1'
_space_group_IT_number 1
_space_group_name_Hall 'P 1'
loop_
_atom_site_label
_atom_site_type_symbol
_atom_site_fract_x
_atom_site_fract_y
_atom_site_fract_z
_atom_site_occupancy
Zn1 Zn 0.848 0.340 0.803 1
Zn2 Zn 0.321 0.321 0.390 1
Zn3 Zn 0.152 0.660 0.197 1
Al1 Al 0.000 0.000 0.000 1
Zn4 Zn 0.662 0.662 0.037 1
Au1 Au 0.662 0.662 0.339 1
Zn5 Zn 0.660 0.152 0.197 1
Zn6 Zn 0.338 0.338 0.963 1
Zn7 Zn 0.679 0.679 0.610 1
Au2 Au 0.338 0.338 0.661 1
Ce1 Ce 0.000 0.000 0.500 1
Zn8 Zn 0.340 0.848 0.803 1

***

# LiYBr2 PBE optimized geometry
# E_form (uncorrected): -849 meV per atom
# D(E_F): 1.89 states/eV/f.u.
# Energy above the lowest structure with this stoichiometry: 370 meV/atom
# V: 23.323 A^3/atom
# SG: Fm-3m, No. 225
data_LiYBr2
_cell_length_a 5.091
_cell_length_b 5.091
_cell_length_c 5.091
_cell_angle_alpha 60.00
_cell_angle_beta 60.00
_cell_angle_gamma 60.00
_space_group_name_H-M_alt 'P 1'
_space_group_IT_number 1
_space_group_name_Hall 'P 1'
loop_
_atom_site_label
_atom_site_type_symbol
_atom_site_fract_x
_atom_site_fract_y
_atom_site_fract_z
_atom_site_occupancy
Br1 Br 0.750 0.750 0.750 1
Li1 Li 0.000 0.000 0.000 1
Y1 Y 0.500 0.500 0.500 1
Br2 Br 0.250 0.250 0.250 1

***

# Nb3SnW PBE optimized geometry
# D(E_F): 11.32 states/eV/f.u.
# Energy above the lowest structure with this stoichiometry: 1045 meV/atom
# V: 23.970 A^3/atom
# SG: Pm-3m, No. 221
# ΔH_f (0 K): 2.152 eV/atom
data_Nb3SnW
_cell_length_a 4.930
_cell_length_b 4.930
_cell_length_c 4.930
_cell_angle_alpha 90.00
_cell_angle_beta 90.00
_cell_angle_gamma 90.00
_space_group_name_H-M_alt 'P 1'
_space_group_IT_number 1
_space_group_name_Hall 'P 1'
loop_
_atom_site_label
_atom_site_type_symbol
_atom_site_fract_x
_atom_site_fract_y
_atom_site_fract_z
_atom_site_occupancy
Nb1 Nb 0.000 0.500 0.000 1
Sn1 Sn 0.000 0.000 0.000 1
Nb2 Nb 0.500 0.000 0.000 1
W1 W 0.500 0.500 0.500 1
Nb3 Nb 0.000 0.000 0.500 1

***

# BaTiMn2Bi PBE optimized geometry
# D(E_F): 9.18 states/eV/f.u.
# V: 24.813 A^3/atom
# SG: P4/mmm, No. 123
# ΔH_f (0 K): 0.930 eV/atom
data_BaTiMn2Bi
_cell_length_a 4.740
_cell_length_b 5.522
_cell_length_c 4.740
_cell_angle_alpha 90.00
_cell_angle_beta 90.00
_cell_angle_gamma 90.00
_space_group_name_H-M_alt 'P 1'
_space_group_IT_number 1
_space_group_name_Hall 'P 1'
loop_
_atom_site_label
_atom_site_type_symbol
_atom_site_fract_x
_atom_site_fract_y
_atom_site_fract_z
_atom_site_occupancy
Ti1 Ti 0.000 0.000 0.000 1
Ba1 Ba 0.500 0.500 0.500 1
Mn1 Mn 0.500 0.000 0.000 1
Bi1 Bi 0.000 0.500 0.000 1
Mn2 Mn 0.000 0.000 0.500 1

***

# AlZnAg3 PBE optimized geometry
# D(E_F): 1.32 states/eV/f.u.
# Energy above the lowest structure with this stoichiometry: 16 meV/atom
# V: 17.060 A^3/atom
# SG: C2/c, No. 15
# ΔH_f (0 K): -0.007 eV/atom
data_AlZnAg3
_cell_length_a 9.347
_cell_length_b 7.132
_cell_length_c 7.132
_cell_angle_alpha 68.64
_cell_angle_beta 58.24
_cell_angle_gamma 58.24
_space_group_name_H-M_alt 'P 1'
_space_group_IT_number 1
_space_group_name_Hall 'P 1'
loop_
_atom_site_label
_atom_site_type_symbol
_atom_site_fract_x
_atom_site_fract_y
_atom_site_fract_z
_atom_site_occupancy
Ag1 Ag 0.066 0.337 0.344 1
Ag2 Ag 0.566 0.344 0.337 1
Al1 Al 0.250 0.990 0.010 1
Zn1 Zn 0.705 0.444 0.822 1
Ag3 Ag 0.566 0.753 0.079 1
Ag4 Ag 0.587 0.935 0.641 1
Zn2 Zn 0.795 0.178 0.556 1
Ag5 Ag 0.434 0.656 0.663 1
Zn3 Zn 0.295 0.556 0.178 1
Zn4 Zn 0.205 0.822 0.444 1
Ag6 Ag 0.434 0.247 0.921 1
Al2 Al 0.750 0.665 0.335 1
Al3 Al 0.250 0.335 0.665 1
Ag7 Ag 0.066 0.079 0.753 1
Ag8 Ag 0.413 0.065 0.359 1
Ag9 Ag 0.934 0.663 0.656 1
Al4 Al 0.750 0.010 0.990 1
Ag10 Ag 0.934 0.921 0.247 1
Ag11 Ag 0.087 0.641 0.935 1
Ag12 Ag 0.913 0.359 0.065 1

***

# NaSr2LiCd PBE optimized geometry
# D(E_F): 4.58 states/eV/f.u.
# V: 43.357 A^3/atom
# SG: P4/mmm, No. 123
# ΔH_f (0 K): 0.030 eV/atom
data_NaSr2LiCd
_cell_length_a 6.416
_cell_length_b 6.416
_cell_length_c 5.266
_cell_angle_alpha 90.00
_cell_angle_beta 90.00
_cell_angle_gamma 90.00
_space_group_name_H-M_alt 'P 1'
_space_group_IT_number 1
_space_group_name_Hall 'P 1'
loop_
_atom_site_label
_atom_site_type_symbol
_atom_site_fract_x
_atom_site_fract_y
_atom_site_fract_z
_atom_site_occupancy
Li1 Li 0.000 0.000 0.500 1
Na1 Na 0.500 0.500 0.500 1
Sr1 Sr 0.000 0.500 0.000 1
Sr2 Sr 0.500 0.000 0.000 1
Cd1 Cd 0.000 0.000 0.000 1

***

# Y2MgMnC PBE optimized geometry
# D(E_F): 4.41 states/eV/f.u.
# V: 19.640 A^3/atom
# SG: P4/mmm, No. 123
# ΔH_f (0 K): -0.170 eV/atom
data_Y2MgMnC
_cell_length_a 5.070
_cell_length_b 5.070
_cell_length_c 3.820
_cell_angle_alpha 90.00
_cell_angle_beta 90.00
_cell_angle_gamma 90.00
_space_group_name_H-M_alt 'P 1'
_space_group_IT_number 1
_space_group_name_Hall 'P 1'
loop_
_atom_site_label
_atom_site_type_symbol
_atom_site_fract_x
_atom_site_fract_y
_atom_site_fract_z
_atom_site_occupancy
Mg1 Mg 0.500 0.500 0.500 1
C1 C 0.000 0.000 0.000 1
Y1 Y 0.500 0.000 0.000 1
Y2 Y 0.000 0.500 0.000 1
Mn1 Mn 0.000 0.000 0.500 1

***

Q: Which of these has the lowest V?
A: AlZnAg3

***

Q: Number 3 is which compound?
A: NaMgTlAu